Material: CaMoN2F
Method: DFT, PBEsol
State: relaxed

Computed properties:
ΔE_f (raw) = -1209 meV per atom
volume = 12.51 A^3/atom

Structure (CIF):
```
data_CaMoN2F
_chemical_formula_sum 'Ca1 Mo1 N2 F1'
_cell_length_a 3.9393
_cell_length_b 3.9393
_cell_length_c 4.0297
_cell_angle_alpha 90.00
_cell_angle_beta 90.00
_cell_angle_gamma 90.00
_space_group_name_H-M_alt 'P 4/m m m'
_space_group_IT_number 123
_space_group_name_Hall '-P 4 2'
loop_
_atom_site_label
_atom_site_type_symbol
_atom_site_fract_x
_atom_site_fract_y
_atom_site_fract_z
Ca1 Ca 0.0000 0.0000 0.0000
Mo1 Mo 0.5000 0.5000 0.5000
N1 N 0.0000 0.5000 0.5000
F1 F 0.5000 0.5000 0.0000
```